TbNd9Er2: optimized geometry, PBE.

- Total magnetic moment: 0.000 μB per atom
- Energy relative to the elements: 0.182 eV per formula unit
- Crystal system: tetragonal

Cell and atoms, written as CIF:
```
data_TbNd9Er2
_symmetry_space_group_name_H-M 'P 4/m m m'
_symmetry_Int_Tables_number 123
_symmetry_space_group_name_Hall '-P 4 2'
_cell_length_a 5.149
_cell_length_b 5.149
_cell_length_c 15.449
_cell_angle_alpha 90.00
_cell_angle_beta 90.00
_cell_angle_gamma 90.00
loop_
_atom_site_label
_atom_site_type_symbol
_atom_site_fract_x
_atom_site_fract_y
_atom_site_fract_z
Tb1 Tb 0.000 0.000 0.000
Nd1 Nd 0.000 0.500 0.167
Nd2 Nd 0.000 0.500 0.500
Nd3 Nd 0.500 0.500 0.000
Nd4 Nd 0.500 0.500 0.334
Er1 Er 0.000 0.000 0.334
```